Record 1
The following is a GGA-PBE calculation of MnTlRe2 after structural relaxation, from Alexandria.

Cell: 4.043 4.043 7.844 Å, 90.00 90.00 90.00°
Space group I-4m2 (No. 119)
Unique sites:
Mn 0.000 0.000 0.000
Tl 0.000 0.500 0.250
Re 0.000 0.000 0.500
Re 0.000 0.500 0.750

Summary:
The calculation puts the offset from the most stable computed form at 284 meV per atom. The total energy is -8.381 eV/atom. Its density of states at the Fermi level is 0.804 states/eV/atom. The calculation puts the formation enthalpy at 0 K at 0.727 eV per atom.

=====

Record 2
The following is a GGA-PBE calculation of MnTl4Re after structural relaxation, from Alexandria.

Cell: 8.586 8.586 8.586 Å, 90.00 90.00 90.00°
Space group F-43m (No. 216)
Unique sites:
Mn 0.000 0.000 0.000
Tl 0.125 0.125 0.375
Re 0.250 0.250 0.750

Summary:
The total energy is -3.827 eV/atom. Its density of states at the Fermi level is 1.020 states/eV/atom. The calculation puts the formation enthalpy at 0 K at 1.353 eV per atom.

=====

Record 3
The following is a GGA-PBE calculation of MnTl2Re after structural relaxation, from Alexandria.

Cell: 4.243 4.243 8.466 Å, 90.00 90.00 90.00°
Space group I4/mmm (No. 139)
Unique sites:
Mn 0.000 0.000 0.000
Tl 0.000 0.500 0.250
Re 0.000 0.000 0.500

Summary:
The calculation puts the offset from the most stable computed form at 421 meV per atom. The total energy is -5.660 eV/atom. Its density of states at the Fermi level is 0.496 states/eV/atom. The calculation puts the formation enthalpy at 0 K at 0.928 eV per atom.

=====

Record 4
The following is a GGA-PBE calculation of Mn2TlRe after structural relaxation, from Alexandria.

Cell: 2.9556 2.9556 26.3671 Å, 90.00 90.00 120.00°
Space group R-3m (No. 166, hexagonal axes)
Unique sites:
Mn 0.0000 0.0000 0.2417
Tl 0.0000 0.0000 0.0000
Re 0.0000 0.0000 0.5000

Summary:
The calculation puts the offset from the most stable computed form at 121 meV per atom. The total energy is -7.762 eV/atom. Its density of states at the Fermi level is 0.683 states/eV/atom. The calculation puts the formation enthalpy at 0 K at 0.526 eV per atom.

=====

Record 5
The following is a GGA-PBE calculation of Mn2TlRe after structural relaxation, from Alexandria.

Cell: 5.646 7.486 2.909 Å, 90.00 90.00 90.00°
Space group Cmmm (No. 65)
Unique sites:
Mn 0.250 0.250 0.000
Tl 0.000 0.000 0.500
Re 0.000 0.500 0.500

Summary:
The calculation puts the offset from the most stable computed form at 181 meV per atom. The total energy is -7.702 eV/atom. Its density of states at the Fermi level is 1.057 states/eV/atom. The calculation puts the formation enthalpy at 0 K at 0.586 eV per atom.

=====

Record 6
The following is a GGA-PBE calculation of MnTlRe2 after structural relaxation, from Alexandria.

Cell: 2.812 2.812 7.975 Å, 90.00 90.00 90.00°
Space group P4/mmm (No. 123)
Unique sites:
Mn 0.000 0.000 0.000
Tl 0.000 0.000 0.500
Re 0.500 0.500 0.206

Summary:
The calculation puts the offset from the most stable computed form at 220 meV per atom. The total energy is -8.445 eV/atom. Its density of states at the Fermi level is 1.255 states/eV/atom. The calculation puts the formation enthalpy at 0 K at 0.663 eV per atom.

=====

Record 7
The following is a GGA-PBE calculation of MnTlRe2 after structural relaxation, from Alexandria.

Cell: 3.064 4.649 9.280 Å, 90.00 90.00 90.00°
Space group Cmmm (No. 65)
Unique sites:
Mn 0.000 0.000 0.000
Tl 0.000 0.000 0.500
Re 0.000 0.500 0.215

Summary:
The calculation puts the offset from the most stable computed form at 282 meV per atom. The total energy is -8.383 eV/atom. Its density of states at the Fermi level is 0.877 states/eV/atom. The calculation puts the formation enthalpy at 0 K at 0.725 eV per atom.

=====

Record 8
The following is a GGA-PBE calculation of MnTlRe2 after structural relaxation, from Alexandria.

Cell: 2.857 3.847 6.066 Å, 90.00 90.00 90.00°
Space group Pmmm (No. 47)
Unique sites:
Mn 0.000 0.000 0.000
Tl 0.000 0.000 0.500
Re 0.500 0.500 0.195

Summary:
The calculation puts the offset from the most stable computed form at 219 meV per atom. The total energy is -8.446 eV/atom. Its density of states at the Fermi level is 0.847 states/eV/atom. The calculation puts the formation enthalpy at 0 K at 0.662 eV per atom.

=====

Which of these has the lowest formation enthalpy at 0 K? number 4

=====

What is the formation enthalpy at 0 K in the third record? 0.928 eV per atom

=====

formation enthalpy at 0 K of number 7 (MnTlRe2)? 0.725 eV per atom